Here is a relaxed structure of RbIn2MoF8 from Alexandria. Energies are from PBE with a Hubbard U.

Results
Space-group type = P-1, No. 2
E = -57.49 eV/cell

Geometry as POSCAR:
```
RbIn2MoF8
1.0
5.5531 -0.3147 0.0302
-0.4209 5.8925 -0.0580
0.0499 -0.0123 6.5884
F In Mo Rb
8 2 1 1
direct
0.6404 0.3625 0.5348
0.1287 0.2747 0.8084
0.3596 0.6375 0.4652
0.2986 0.1167 0.1856
0.8713 0.7253 0.1916
0.8161 0.2223 0.1725
0.1839 0.7777 0.8275
0.7014 0.8833 0.8144
0.5420 0.4582 0.2165
0.4580 0.5418 0.7835
0.0000 0.0000 0.0000
0.0000 0.0000 0.5000
```